A plane-wave DFT calculation with PBE was carried out for a geometry-optimized MnRuCS structure.

Cell lengths 3.0679, 3.2122, 5.3747 Å; angles 90.00, 90.00, 90.00 degrees
Last column: nearest neighbours and their distance in Å.
Element x y z (fractional)
Mn: 0.0000 0.0000 0.0000  2 C 1.86
Ru: 0.5000 0.5000 0.5978  2 C 1.97
C: 0.0000 0.5000 0.8269  2 Mn 1.86, 2 Ru 1.97
S: 0.5000 0.0000 0.2874  2 Mn 2.18, 2 Ru 2.32

Calculated values
Total moment   0.1787 μB/atom
Polymorph energy (0 for the lowest one)   113.3 meV/atom
Space group   Pmm2, No. 25



A plane-wave DFT calculation with PBE was carried out for a geometry-optimized ScMnRu2C structure.

Cell lengths 4.1226, 4.1226, 3.8796 Å; angles 90.00, 90.00, 90.00 degrees
Last column: nearest neighbours and their distance in Å.
Element x y z (fractional)
Sc: 0.0000 0.0000 0.0000  8 Ru 2.83, 4 Mn 2.92
Mn: 0.5000 0.5000 0.0000  2 C 1.94
Ru: 0.0000 0.5000 0.5000  2 C 2.06
Ru: 0.5000 0.0000 0.5000  2 C 2.06
C: 0.5000 0.5000 0.5000  2 Mn 1.94, 4 Ru 2.06

Calculated values
Total moment   0.4188 μB/atom
Energy of formation   -0.26 eV per atom
Space group   P4/mmm, No. 123



A plane-wave DFT calculation with PBE was carried out for a geometry-optimized MnSiRuC2 structure.

Cell lengths 3.6088, 3.6088, 4.7811 Å; angles 90.00, 90.00, 90.00 degrees
Last column: nearest neighbours and their distance in Å.
Element x y z (fractional)
Mn: 0.0000 0.0000 0.0000  4 Ru 2.55
Si: 0.5000 0.5000 0.5000  4 C 1.80
Ru: 0.5000 0.5000 0.0000  2 Si 2.39, 4 Mn 2.55
C: 0.0000 0.5000 0.5000  2 Si 1.80
C: 0.5000 0.0000 0.5000  2 Si 1.80

Calculated values
E_tot   -6.462 eV/atom
Total moment   0.0190 μB/atom
Space group   P4/mmm, No. 123



A plane-wave DFT calculation with PBE was carried out for a geometry-optimized MnSnRu2C structure.

Cell lengths 4.1343, 4.1343, 3.9132 Å; angles 90.00, 90.00, 90.00 degrees
Last column: nearest neighbours and their distance in Å.
Element x y z (fractional)
Mn: 0.0000 0.0000 0.0000  2 C 1.96
Sn: 0.5000 0.5000 0.0000  8 Ru 2.85, 4 Mn 2.92
Ru: 0.0000 0.5000 0.5000  2 C 2.07
Ru: 0.5000 0.0000 0.5000  2 C 2.07
C: 0.0000 0.0000 0.5000  2 Mn 1.96, 4 Ru 2.07

Calculated values
Total moment   0.4527 μB/atom
Energy of formation   0.03 eV per atom
Space group   P4/mmm, No. 123



A plane-wave DFT calculation with PBE was carried out for a geometry-optimized TaMn2RuC structure.

Cell lengths 3.8629, 3.8629, 3.9985 Å; angles 90.00, 90.00, 90.00 degrees
Last column: nearest neighbours and their distance in Å.
Element x y z (fractional)
Ta: 0.0000 0.0000 0.0000  4 Ru 2.73, 8 Mn 2.78
Mn: 0.0000 0.5000 0.5000  2 C 1.93
Mn: 0.5000 0.0000 0.5000  2 C 1.93
Ru: 0.5000 0.5000 0.0000  2 C 2.00
C: 0.5000 0.5000 0.5000  4 Mn 1.93, 2 Ru 2.00

Calculated values
Total moment   0.0457 μB/atom
Energy of formation   -0.13 eV per atom
Space group   P4/mmm, No. 123



A plane-wave DFT calculation with PBE was carried out for a geometry-optimized TiMn2RuC structure.

Cell lengths 3.8197, 3.8197, 4.0504 Å; angles 90.00, 90.00, 90.00 degrees
Last column: nearest neighbours and their distance in Å.
Element x y z (fractional)
Ti: 0.0000 0.0000 0.0000  4 Ru 2.70, 8 Mn 2.78
Mn: 0.0000 0.5000 0.5000  2 C 1.91
Mn: 0.5000 0.0000 0.5000  2 C 1.91
Ru: 0.5000 0.5000 0.0000  2 C 2.03
C: 0.5000 0.5000 0.5000  4 Mn 1.91, 2 Ru 2.03

Calculated values
Total moment   0.3845 μB/atom
Energy of formation   -0.21 eV per atom
Space group   P4/mmm, No. 123



A plane-wave DFT calculation with PBE was carried out for a geometry-optimized Mn2VRuC structure.

Cell lengths 3.7679, 3.7679, 3.9628 Å; angles 90.00, 90.00, 90.00 degrees
Last column: nearest neighbours and their distance in Å.
Element x y z (fractional)
Mn: 0.0000 0.5000 0.0000  2 C 1.88
Mn: 0.5000 0.0000 0.0000  2 C 1.88
V: 0.0000 0.0000 0.5000  2 C 1.98
Ru: 0.5000 0.5000 0.5000  4 V 2.66, 8 Mn 2.73
C: 0.0000 0.0000 0.0000  4 Mn 1.88, 2 V 1.98

Calculated values
Total moment   0.2660 μB/atom
Energy of formation   -0.04 eV per atom
Space group   P4/mmm, No. 123



A plane-wave DFT calculation with PBE was carried out for a geometry-optimized Y2MnRuC structure.

Cell lengths 4.9820, 4.9820, 3.9010 Å; angles 90.00, 90.00, 90.00 degrees
Last column: nearest neighbours and their distance in Å.
Element x y z (fractional)
Y: 0.0000 0.5000 0.0000  2 C 2.49
Y: 0.5000 0.0000 0.0000  2 C 2.49
Mn: 0.0000 0.0000 0.5000  8 Y 3.16, 4 Ru 3.52
Ru: 0.5000 0.5000 0.5000  2 C 1.95
C: 0.5000 0.5000 0.0000  2 Ru 1.95

Calculated values
Total moment   0.8324 μB/atom
Energy of formation   -0.13 eV per atom
Polymorph energy (0 for the lowest one)   0.0 meV/atom
Space group   P4/mmm, No. 123



A plane-wave DFT calculation with PBE was carried out for a geometry-optimized Y2MnRuC structure.

Cell lengths 4.9097, 4.9097, 3.7068 Å; angles 90.00, 90.00, 90.00 degrees
Last column: nearest neighbours and their distance in Å.
Element x y z (fractional)
Y: 0.0000 0.5000 0.0000  2 C 2.45
Y: 0.5000 0.0000 0.0000  2 C 2.45
Mn: 0.0000 0.0000 0.5000  2 C 1.85
Ru: 0.5000 0.5000 0.5000  8 Y 3.08
C: 0.0000 0.0000 0.0000  2 Mn 1.85

Calculated values
Total moment   0.2914 μB/atom
Energy of formation   -0.12 eV per atom
Polymorph energy (0 for the lowest one)   5.9 meV/atom
Space group   P4/mmm, No. 123



A plane-wave DFT calculation with PBE was carried out for a geometry-optimized YMnRu2C structure.

Cell lengths 4.2181, 4.2181, 3.9880 Å; angles 90.00, 90.00, 90.00 degrees
Last column: nearest neighbours and their distance in Å.
Element x y z (fractional)
Y: 0.0000 0.0000 0.0000  8 Ru 2.90, 4 Mn 2.98
Mn: 0.5000 0.5000 0.0000  2 C 1.99
Ru: 0.0000 0.5000 0.5000  2 C 2.11
Ru: 0.5000 0.0000 0.5000  2 C 2.11
C: 0.5000 0.5000 0.5000  2 Mn 1.99, 4 Ru 2.11

Calculated values
Total moment   0.5092 μB/atom
Energy of formation   -0.14 eV per atom
Space group   P4/mmm, No. 123



A plane-wave DFT calculation with PBE was carried out for a geometry-optimized YMn2RuC structure.

Cell lengths 4.0603, 4.0603, 4.2103 Å; angles 90.00, 90.00, 90.00 degrees
Last column: nearest neighbours and their distance in Å.
Element x y z (fractional)
Y: 0.0000 0.0000 0.0000  4 Ru 2.87, 8 Mn 2.92
Mn: 0.0000 0.5000 0.5000  2 C 2.03
Mn: 0.5000 0.0000 0.5000  2 C 2.03
Ru: 0.5000 0.5000 0.0000  2 C 2.11
C: 0.5000 0.5000 0.5000  4 Mn 2.03, 2 Ru 2.11

Calculated values
Total moment   0.9692 μB/atom
Energy of formation   -0.04 eV per atom
Space group   P4/mmm, No. 123



A plane-wave DFT calculation with PBE was carried out for a geometry-optimized Mn2ZnRuC structure.

Cell lengths 3.9390, 3.9390, 4.0077 Å; angles 90.00, 90.00, 90.00 degrees
Last column: nearest neighbours and their distance in Å.
Element x y z (fractional)
Mn: 0.0000 0.5000 0.0000  2 C 1.97
Mn: 0.5000 0.0000 0.0000  2 C 1.97
Zn: 0.0000 0.0000 0.5000  4 Ru 2.79, 8 Mn 2.81
Ru: 0.5000 0.5000 0.5000  2 C 2.00
C: 0.5000 0.5000 0.0000  4 Mn 1.97, 2 Ru 2.00

Calculated values
Total moment   1.1893 μB/atom
Energy of formation   0.01 eV per atom
Space group   P4/mmm, No. 123



For reference, calculated density by record: 6.273, 7.909, 5.550, 9.628, 11.241, 7.610, 8.084, 5.931, 6.427, 8.378, 7.461, 7.701 g cm⁻³.